## Tl2VTeO6 (PBE with a Hubbard U)

Data for an optimized crystal structure of Tl2VTeO6.

Output
Electronic total energy ... -5.66 eV/atom
Magnetic moment ... 0.00 μB per atom

a = 6.0411 Å, b = 6.0411 Å, c = 28.7227 Å
α = 90.00°, β = 90.00°, γ = 120.00°
Space group R-3m (No. 166, hexagonal axes)
One atom of each set of equivalent atoms:
Tl  0.0000  0.0000  0.1327 x6
Tl  0.0000  0.0000  0.2720 x6
V  0.0000  0.0000  0.4013 x6
Te  0.0000  0.0000  0.0000 x3
Te  0.0000  0.0000  0.5000 x3
O  0.0232  0.5116  0.2925 x18
O  0.0523  0.5262  0.1218 x18